*P*
# CrTeRuI2

A geometry-optimized CrTeRuI2 structure (GGA-PBEsol, Alexandria via LeMat-Bulk).

Output
DOS(E_F): 1.0128 states/eV/atom
SG: P4/mmm (123)

a = 5.460 Å, b = 5.460 Å, c = 4.919 Å
α = 90.00°, β = 90.00°, γ = 90.00°
Fractional positions:
Cr 0.000 0.000 0.000
Te 0.500 0.500 0.000
Ru 0.500 0.500 0.500
I 0.000 0.500 0.500
I 0.500 0.000 0.500

***

*Q*
# CrTeRuI2

A geometry-optimized CrTeRuI2 structure (GGA-PBEsol, Alexandria via LeMat-Bulk).

Output
DOS(E_F): 1.3481 states/eV/atom
SG: P4/mmm (123)

a = 5.264 Å, b = 5.264 Å, c = 5.229 Å
α = 90.00°, β = 90.00°, γ = 90.00°
Fractional positions:
Cr 0.000 0.000 0.000
Te 0.000 0.000 0.500
Ru 0.500 0.500 0.500
I 0.000 0.500 0.000
I 0.500 0.000 0.000

***

Verdict on stability: *P* comes out on top.

***

*P*
# KCrIn

A geometry-optimized KCrIn structure (GGA-PBEsol, Alexandria via LeMat-Bulk).

Output
DOS(E_F): 0.5368 states/eV/atom
SG: Imm2 (44)

a = 3.147 Å, b = 4.403 Å, c = 12.294 Å
α = 90.00°, β = 90.00°, γ = 90.00°
Fractional positions:
K 0.000 0.000 0.000
K 0.500 0.500 0.500
Cr 0.000 0.000 0.732
Cr 0.500 0.500 0.232
In 0.000 0.000 0.278
In 0.500 0.500 0.778

***

*Q*
# KCrIn

A geometry-optimized KCrIn structure (GGA-PBEsol, Alexandria via LeMat-Bulk).

Output
DOS(E_F): 0.6923 states/eV/atom
SG: F-43m (216)

a = 7.177 Å, b = 7.177 Å, c = 7.177 Å
α = 90.00°, β = 90.00°, γ = 90.00°
Fractional positions:
K 0.000 0.000 0.000
K 0.000 0.500 0.500
K 0.500 0.000 0.500
K 0.500 0.500 0.000
Cr 0.250 0.250 0.750
Cr 0.250 0.750 0.250
Cr 0.750 0.250 0.250
Cr 0.750 0.750 0.750
In 0.000 0.000 0.500
In 0.000 0.500 0.000
In 0.500 0.000 0.000
In 0.500 0.500 0.500

***

Verdict on stability: *P* comes out on top.

***

*P*
# CrIn2Ni

A geometry-optimized CrIn2Ni structure (GGA-PBEsol, Alexandria via LeMat-Bulk).

Output
DOS(E_F): 0.5666 states/eV/atom
SG: Imm2 (44)

a = 3.144 Å, b = 4.409 Å, c = 9.514 Å
α = 90.00°, β = 90.00°, γ = 90.00°
Fractional positions:
Cr 0.000 0.000 0.000
Cr 0.500 0.500 0.500
In 0.000 0.000 0.557
In 0.000 0.500 0.773
In 0.500 0.000 0.273
In 0.500 0.500 0.057
Ni 0.000 0.500 0.293
Ni 0.500 0.000 0.793

***

*Q*
# CrIn2Ni

A geometry-optimized CrIn2Ni structure (GGA-PBEsol, Alexandria via LeMat-Bulk).

Output
DOS(E_F): 0.5739 states/eV/atom
SG: I4/mmm (139)

a = 4.513 Å, b = 4.513 Å, c = 6.364 Å
α = 90.00°, β = 90.00°, γ = 90.00°
Fractional positions:
Cr 0.000 0.000 0.000
Cr 0.500 0.500 0.500
In 0.000 0.500 0.250
In 0.000 0.500 0.750
In 0.500 0.000 0.250
In 0.500 0.000 0.750
Ni 0.000 0.000 0.500
Ni 0.500 0.500 0.000

***

Verdict on stability: *Q* comes out on top.

***

*P*
# CrInP

A geometry-optimized CrInP structure (GGA-PBEsol, Alexandria via LeMat-Bulk).

Output
DOS(E_F): 0.8619 states/eV/atom
SG: F-43m (216)

a = 6.117 Å, b = 6.117 Å, c = 6.117 Å
α = 90.00°, β = 90.00°, γ = 90.00°
Fractional positions:
Cr 0.000 0.000 0.000
Cr 0.000 0.500 0.500
Cr 0.500 0.000 0.500
Cr 0.500 0.500 0.000
In 0.000 0.000 0.500
In 0.000 0.500 0.000
In 0.500 0.000 0.000
In 0.500 0.500 0.500
P 0.250 0.250 0.250
P 0.250 0.750 0.750
P 0.750 0.250 0.750
P 0.750 0.750 0.250

***

*Q*
# CrInP

A geometry-optimized CrInP structure (GGA-PBEsol, Alexandria via LeMat-Bulk).

Output
DOS(E_F): 0.5678 states/eV/atom
SG: P3m1 (156)

a = 3.006 Å, b = 3.006 Å, c = 6.063 Å
α = 90.00°, β = 90.00°, γ = 120.00°
Fractional positions:
Cr 0.000 0.000 0.000
In 0.333 0.667 0.642
P 0.667 0.333 0.236

***

Verdict on stability: *Q* comes out on top.